Entry from the Alexandria database: an optimized crystal structure of K2As2Pt (GGA-PBE).

Cell lengths 6.592, 6.592, 5.540 Å; angles 90.00, 90.00, 90.00 degrees
Fractional positions:
K: 0.175 0.675 0.500
K: 0.325 0.175 0.500
K: 0.675 0.825 0.500
K: 0.825 0.325 0.500
As: 0.638 0.138 0.000
As: 0.138 0.362 0.000
As: 0.362 0.862 0.000
As: 0.862 0.638 0.000
Pt: 0.500 0.500 0.000
Pt: 0.000 0.000 0.000

Calculated values
E_tot, eV per atom: -3.941
Space-group type: P4/mbm, No. 127



Entry from the Alexandria database: an optimized crystal structure of KAsPt (GGA-PBE).

Cell lengths 7.633, 6.810, 6.809 Å; angles 90.00, 114.87, 90.00 degrees
Fractional positions:
K: 0.124 0.374 0.299
K: 0.376 0.874 0.201
K: 0.876 0.626 0.701
K: 0.624 0.126 0.799
As: 0.075 0.138 0.780
As: 0.425 0.638 0.720
As: 0.925 0.862 0.220
As: 0.575 0.362 0.280
Pt: 0.171 0.882 0.593
Pt: 0.671 0.618 0.093
Pt: 0.829 0.118 0.407
Pt: 0.329 0.382 0.907

Calculated values
E_tot, eV per atom: -4.490
Space-group type: P2_1/c, No. 14



Entry from the Alexandria database: an optimized crystal structure of K2As2Pt (GGA-PBE).

Cell lengths 4.604, 6.448, 10.313 Å; angles 91.99, 77.10, 69.08 degrees
Fractional positions:
As: 0.152 0.111 0.585
As: 0.619 0.872 0.890
As: 0.848 0.889 0.415
As: 0.381 0.128 0.110
Pt: 0.331 0.003 0.336
Pt: 0.669 0.997 0.664
K: 0.914 0.272 0.899
K: 0.086 0.728 0.101
K: 0.373 0.580 0.674
K: 0.627 0.420 0.326

Calculated values
E_tot, eV per atom: -3.964
Space-group type: C2/m, No. 12